Entry 1:
## Mn2I3Br (PBE-GGA)

Data for a geometry-optimized Mn2I3Br structure.

a b c (Å): 4.0949 9.7692 11.4781
angles (deg): 92.81 79.72 77.90
Last column: magnetic moment on the atom in μB.
Atoms (fractional coordinates):
1 I 0.6956 0.6671 0.9417  0.10
2 I 0.1814 0.1761 0.4610  0.10
3 Mn 0.1226 0.6337 0.1211  4.39
4 I 0.8186 0.8239 0.5390  0.10
5 Mn 0.3759 0.8800 0.3681  4.36
6 I 0.9357 0.9330 0.1956  0.10
7 I 0.0643 0.0670 0.8044  0.10
8 Br 0.5575 0.6065 0.2785  0.10
9 I 0.3044 0.3329 0.0583  0.10
10 Mn 0.8774 0.3663 0.8789  4.39
11 Mn 0.6241 0.1200 0.6319  4.36
12 Br 0.4425 0.3935 0.7215  0.10

Distance to the lowest polymorph of the same formula, meV/atom: 0
VASP energy, eV/atom: -4.627
Formation energy (no corrections), eV per atom: -0.5170
Volume, Å³ per cell: 440

=====

Entry 2:
## MnI2Br5 (PBE-GGA)

Data for a geometry-optimized MnI2Br5 structure.

a b c (Å): 7.7578 7.7554 7.7583
angles (deg): 107.12 110.67 110.66
Last column: magnetic moment on the atom in μB.
Atoms (fractional coordinates):
1 Br 0.9219 0.0684 0.6833  -0.01
2 Br 0.0781 0.7611 0.1461  -0.01
3 I 0.5000 0.9209 0.4209  -0.03
4 Br 0.0002 0.2404 0.2404  0.12
5 Br 0.6149 0.6831 0.7611  -0.01
6 I 0.5000 0.4208 0.9209  -0.03
7 Mn 0.0000 0.9821 0.9821  3.73
8 Br 0.3850 0.1462 0.0681  -0.01

VASP energy, eV/atom: -2.874
Formation energy (no corrections), eV per atom: -0.2944
Volume, Å³ per cell: 359

=====

Entry 3:
## MnI3Br (PBE-GGA)

Data for a geometry-optimized MnI3Br structure.

a b c (Å): 6.4726 8.0097 7.6794
angles (deg): 89.99 90.00 90.00
Last column: magnetic moment on the atom in μB.
Atoms (fractional coordinates):
1 Br 0.3599 0.4112 0.7008  0.03
2 I 0.4210 0.8233 0.9543  -0.12
3 I 0.9210 0.5295 0.9473  -0.12
4 I 0.4979 0.3977 0.2008  -0.14
5 I 0.9978 0.9551 0.7006  -0.14
6 Mn 0.1784 0.6652 0.7008  3.28
7 I 0.9210 0.5295 0.4543  -0.12
8 I 0.4210 0.8234 0.4472  -0.12
9 Br 0.8599 0.9416 0.2007  0.03
10 Mn 0.6784 0.6876 0.2008  3.28

Distance to the lowest polymorph of the same formula, meV/atom: 7
VASP energy, eV/atom: -3.358
Formation energy (no corrections), eV per atom: -0.2592
Volume, Å³ per cell: 398

=====

Entry 4:
## MnIBr4 (PBE-GGA)

Data for a geometry-optimized MnIBr4 structure.

a b c (Å): 6.4660 8.5012 10.1934
angles (deg): 65.35 83.80 74.99
Last column: magnetic moment on the atom in μB.
Atoms (fractional coordinates):
1 Br 0.3816 0.2224 0.4097  0.00
2 Br 0.1649 0.6698 0.8184  0.01
3 Br 0.8351 0.3302 0.1816  0.01
4 Br 0.1184 0.8680 0.4097  0.00
5 Br 0.6184 0.7776 0.5903  0.00
6 Mn 0.7500 0.0522 0.3956  3.78
7 I 0.7500 0.6464 0.2072  -0.02
8 I 0.2500 0.3536 0.7928  -0.02
9 Br 0.8816 0.1320 0.5903  0.00
10 Mn 0.2500 0.9478 0.6044  3.78
11 Br 0.6649 0.9882 0.1816  0.01
12 Br 0.3351 0.0118 0.8184  0.01

VASP energy, eV/atom: -3.335
Formation energy (no corrections), eV per atom: -0.4331
Volume, Å³ per cell: 492

=====

Entry 5:
## MnIBr2 (PBE-GGA)

Data for a geometry-optimized MnIBr2 structure.

a b c (Å): 7.1478 7.1478 7.0469
angles (deg): 59.53 59.53 90.00
Atoms (fractional coordinates):
1 Br 0.8750 0.7323 0.7500
2 I 0.7500 0.2500 0.5000
3 Br 0.4823 0.1250 0.2500
4 Br 0.3750 0.5177 0.7500
5 Mn 0.2500 0.7500 0.5000
6 Mn 0.5000 0.5000 0.0000
7 Br 0.2677 0.6250 0.2500
8 I 0.0000 0.0000 0.0000

Distance to the lowest polymorph of the same formula, meV/atom: 773
VASP energy, eV/atom: -3.280
Formation energy (no corrections), eV per atom: 0.2365
Volume, Å³ per cell: 251

=====

Entry 6:
## MnI3Br (PBE-GGA)

Data for a geometry-optimized MnI3Br structure.

a b c (Å): 7.1479 8.3656 8.3630
angles (deg): 65.93 115.40 115.40
Last column: magnetic moment on the atom in μB.
Atoms (fractional coordinates):
1 I 0.0317 0.3035 0.1966  -0.13
2 Mn 0.5317 0.0000 0.5000  3.61
3 I 0.9528 0.1704 0.6707  -0.03
4 I 0.5316 0.6965 0.8034  -0.13
5 I 0.5317 0.3036 0.1967  -0.13
6 Mn 0.0317 0.0000 0.5000  3.61
7 I 0.0315 0.6965 0.8033  -0.13
8 I 0.1106 0.8296 0.3293  -0.03
9 Br 0.6333 0.8523 0.3521  0.01
10 Br 0.4299 0.1476 0.6479  0.01

Distance to the lowest polymorph of the same formula, meV/atom: 0
VASP energy, eV/atom: -3.364
Formation energy (no corrections), eV per atom: -0.2658
Volume, Å³ per cell: 392